(1)
Compound: Ba4GeSeBr2
Source: Alexandria via LeMat-Bulk
Functional: PBE
Structure: relaxed

## Properties
As for the volume: 321.1 Å³ per cell. For the theoretical density, the calculation gives 4.451 g/cm³. For the energy relative to the elements, uncorrected, the calculation gives -1540 meV/atom. Its total DFT energy (no corrections) is -3.933 eV/atom.

Geometry as POSCAR:
```
Ba4GeSeBr2
1.0
8.344 0.000 0.000
0.000 4.825 0.000
-2.796 0.000 7.976
Ba Ge Se Br
4 1 1 2
direct
0.235 0.000 0.223
0.251 0.500 0.782
0.749 0.500 0.218
0.765 0.000 0.777
0.000 0.500 0.000
0.500 0.000 0.000
0.000 0.000 0.500
0.500 0.500 0.500
```

=====

(2)
Compound: AlFe2Mo
Source: Alexandria via LeMat-Bulk
Functional: PBE
Structure: relaxed

## Properties
As for the volume: 103.7 Å³ per cell. For the theoretical density, the calculation gives 7.513 g/cm³. As for the energy of formation from the pure elements: -0.04 eV per atom. Its total DFT energy (no corrections) is -7.916 eV/atom.

Geometry as POSCAR:
```
AlFe2Mo
1.0
3.327 0.000 0.000
0.000 4.052 0.000
0.000 0.000 7.694
Al Fe Mo
2 4 2
direct
0.000 0.000 0.000
0.500 0.500 0.500
0.000 0.500 0.247
0.000 0.500 0.753
0.500 0.000 0.253
0.500 0.000 0.747
0.000 0.000 0.500
0.500 0.500 0.000
```

=====

(3)
Compound: ScOsW
Source: Alexandria via LeMat-Bulk
Functional: PBE
Structure: relaxed

## Properties
As for the volume: 199.6 Å³ per cell. For the theoretical density, the calculation gives 13.941 g/cm³. As for the energy of formation from the pure elements: 0.15 eV per atom. Its total DFT energy (no corrections) is -10.026 eV/atom.

Geometry as POSCAR:
```
ScOsW
1.0
3.178 0.000 0.000
0.000 4.625 0.000
0.000 0.000 13.583
Sc Os W
4 4 4
direct
0.000 0.000 0.000
0.000 0.500 0.500
0.500 0.000 0.500
0.500 0.500 0.000
0.000 0.000 0.336
0.000 0.500 0.836
0.500 0.000 0.836
0.500 0.500 0.336
0.000 0.000 0.680
0.000 0.500 0.180
0.500 0.000 0.180
0.500 0.500 0.680
```

=====

(4)
Compound: Ho12Al5Si3
Source: Alexandria via LeMat-Bulk
Functional: PBE
Structure: relaxed

## Properties
As for the volume: 2452.3 Å³ per cell. For the theoretical density, the calculation gives 5.954 g/cm³. For the energy relative to the elements, uncorrected, the calculation gives 203 meV/atom. Its total DFT energy (no corrections) is -4.293 eV/atom.

Geometry as POSCAR:
```
Ho12Al5Si3
1.0
-8.495 8.495 8.495
8.495 -8.495 8.495
8.495 8.495 -8.495
Ho Al Si
48 20 12
direct
0.060 0.225 0.135
0.060 0.335 0.925
0.075 0.635 0.410
0.075 0.940 0.665
0.090 0.725 0.665
0.090 0.865 0.425
0.135 0.060 0.225
0.135 0.575 0.910
0.165 0.225 0.590
0.165 0.440 0.575
0.225 0.135 0.060
0.225 0.590 0.165
0.275 0.335 0.910
0.275 0.440 0.365
0.335 0.910 0.275
0.335 0.925 0.060
0.365 0.275 0.440
0.365 0.590 0.925
0.410 0.075 0.635
0.410 0.835 0.775
0.425 0.090 0.865
0.425 0.835 0.560
0.440 0.365 0.275
0.440 0.575 0.165
0.560 0.425 0.835
0.560 0.635 0.725
0.575 0.165 0.440
0.575 0.910 0.135
0.590 0.165 0.225
0.590 0.925 0.365
0.635 0.410 0.075
0.635 0.725 0.560
0.665 0.075 0.940
0.665 0.090 0.725
0.725 0.560 0.635
0.725 0.665 0.090
0.775 0.410 0.835
0.775 0.865 0.940
0.835 0.560 0.425
0.835 0.775 0.410
0.865 0.425 0.090
0.865 0.940 0.775
0.910 0.135 0.575
0.910 0.275 0.335
0.925 0.060 0.335
0.925 0.365 0.590
0.940 0.665 0.075
0.940 0.775 0.865
0.000 0.000 0.000
0.000 0.000 0.500
0.000 0.500 0.000
0.000 0.500 0.500
0.125 0.750 0.875
0.125 0.875 0.250
0.250 0.125 0.875
0.250 0.625 0.375
0.375 0.250 0.625
0.375 0.625 0.750
0.500 0.000 0.000
0.500 0.000 0.500
0.500 0.500 0.000
0.500 0.500 0.500
0.625 0.375 0.250
0.625 0.750 0.375
0.750 0.375 0.625
0.750 0.875 0.125
0.875 0.125 0.750
0.875 0.250 0.125
0.125 0.250 0.375
0.125 0.375 0.750
0.250 0.375 0.125
0.250 0.875 0.625
0.375 0.125 0.250
0.375 0.750 0.125
0.625 0.250 0.875
0.625 0.875 0.750
0.750 0.125 0.375
0.750 0.625 0.875
0.875 0.625 0.250
0.875 0.750 0.625
```

=====

(5)
Compound: RbTcSe2N
Source: Alexandria via LeMat-Bulk
Functional: PBE
Structure: relaxed

## Properties
As for the volume: 106.5 Å³ per cell. For the theoretical density, the calculation gives 5.539 g/cm³. The value obtained for the energy relative to the lowest polymorph listed for this composition is 0.000 eV/atom. For the energy relative to the elements, uncorrected, the calculation gives -40 meV/atom. Its total DFT energy (no corrections) is -5.365 eV/atom.

Geometry as POSCAR:
```
RbTcSe2N
1.0
5.298 0.000 0.000
0.000 5.298 0.000
0.000 0.000 3.795
Rb Tc Se N
1 1 2 1
direct
0.000 0.000 0.000
0.500 0.500 0.500
0.000 0.500 0.500
0.500 0.000 0.500
0.500 0.500 0.000
```

=====

(6)
Compound: Mg2BePb
Source: Alexandria via LeMat-Bulk
Functional: PBE
Structure: relaxed

## Properties
As for the volume: 165.4 Å³ per cell. For the theoretical density, the calculation gives 5.318 g/cm³. The value obtained for the energy relative to the lowest polymorph listed for this composition is 0.194 eV/atom. As for the energy of formation from the pure elements: 0.32 eV per atom. Its total DFT energy (no corrections) is -2.335 eV/atom.

Geometry as POSCAR:
```
Mg2BePb
1.0
4.335 0.000 0.000
0.000 4.335 0.000
0.000 0.000 8.801
Mg Be Pb
4 2 2
direct
0.000 0.000 0.000
0.000 0.500 0.250
0.500 0.000 0.750
0.500 0.500 0.500
0.000 0.000 0.500
0.500 0.500 0.000
0.000 0.500 0.750
0.500 0.000 0.250
```